(1)
The following is a PBE calculation of a geometry-optimized KBeI2Cl structure, from the Alexandria database.

Cell lengths 6.6370, 6.6370, 5.7334 Å; angles 90.00, 90.00, 90.00 degrees
With the nearest neighbours (Å) after each atom.
Atoms (fractional coordinates):
K (0.0000, 0.0000, 0.0000)  2 Cl 2.87
Be (0.5000, 0.5000, 0.5000)  8 I 4.39, 4 Cl 4.69
I (0.0000, 0.5000, 0.0000)  2 K 3.32
I (0.5000, 0.0000, 0.0000)  2 K 3.32
Cl (0.0000, 0.0000, 0.5000)  2 K 2.87

ΔE_f (raw) (meV/atom): 380
Energy (eV/atom): -1.57
Spin magnetization (μB/f.u.): 2.000
SG: P4/mmm, No. 123

---

(2)
The following is a PBE calculation of a geometry-optimized Zr4Rh3 structure, from the Alexandria database.

Cell lengths 11.7236, 11.7236, 11.7236 Å; angles 163.40, 163.40, 23.56 degrees
With the nearest neighbours (Å) after each atom.
Atoms (fractional coordinates):
Zr (0.0688, 0.0688, 0.0000)  4 Rh 2.87, 5 Zr 3.12-3.16
Zr (0.3437, 0.3437, 0.0000)  4 Rh 2.70
Zr (0.6563, 0.6563, 0.0000)  4 Rh 2.70
Zr (0.9312, 0.9312, 0.0000)  4 Rh 2.87, 5 Zr 3.12-3.16
Rh (0.2109, 0.2109, 0.0000)  4 Zr 2.70, 4 Rh 2.99
Rh (0.5000, 0.5000, 0.0000)  8 Zr 2.87
Rh (0.7891, 0.7891, 0.0000)  4 Zr 2.70, 4 Rh 2.99

Energy (eV/atom): -8.55
Spin magnetization (μB/f.u.): 0.000
SG: I4/mmm, No. 139

---

(3)
The following is a PBE calculation of a geometry-optimized Ta2CuBr structure, from the Alexandria database.

Cell lengths 3.0421, 3.0421, 7.1157 Å; angles 90.00, 90.00, 90.00 degrees
With the nearest neighbours (Å) after each atom.
Atoms (fractional coordinates):
Ta (0.0000, 0.0000, 0.2350)  4 Cu 2.72, 4 Br 2.86, 4 Ta 3.04
Ta (0.0000, 0.0000, 0.7650)  4 Cu 2.72, 4 Br 2.86, 4 Ta 3.04
Cu (0.5000, 0.5000, 0.0000)  8 Ta 2.72, 4 Cu 3.04
Br (0.5000, 0.5000, 0.5000)  8 Ta 2.86, 4 Br 3.04

ΔE_f (raw) (meV/atom): 452
Energy (eV/atom): -6.92
Spin magnetization (μB/f.u.): 0.000
SG: P4/mmm, No. 123

---

(4)
The following is a PBE calculation of a geometry-optimized AcEuTlCu structure, from the Alexandria database.

Cell lengths 5.5483, 5.5483, 5.5483 Å; angles 60.00, 60.00, 60.00 degrees
With the nearest neighbours (Å) after each atom.
Atoms (fractional coordinates):
Ac (0.0000, 0.0000, 0.0000)  4 Cu 3.40, 4 Tl 3.40
Eu (0.5000, 0.5000, 0.5000)  4 Tl 3.40, 4 Cu 3.40
Tl (0.7500, 0.7500, 0.7500)  4 Eu 3.40, 4 Ac 3.40
Cu (0.2500, 0.2500, 0.2500)  4 Eu 3.40, 4 Ac 3.40

Energy (eV/atom): -5.41
Spin magnetization (μB/f.u.): 6.973
SG: F-43m, No. 216

---

(5)
The following is a PBE calculation of a geometry-optimized LiHgIr2 structure, from the Alexandria database.

Cell lengths 3.8013, 3.8013, 4.3289 Å; angles 90.00, 90.00, 90.00 degrees
With the nearest neighbours (Å) after each atom.
Atoms (fractional coordinates):
Li (0.0000, 0.0000, 0.0000)  4 Hg 2.69, 8 Ir 2.88
Hg (0.5000, 0.5000, 0.0000)  4 Li 2.69, 8 Ir 2.88
Ir (0.0000, 0.5000, 0.5000)  4 Ir 2.69, 4 Hg 2.88, 4 Li 2.88
Ir (0.5000, 0.0000, 0.5000)  4 Ir 2.69, 4 Hg 2.88, 4 Li 2.88

Energy (eV/atom): -4.76
Spin magnetization (μB/f.u.): 0.781
SG: P4/mmm, No. 123

---

(6)
The following is a PBE calculation of a geometry-optimized TlAsSe2F structure, from the Alexandria database.

Cell lengths 5.3592, 5.3592, 4.0378 Å; angles 90.00, 90.00, 90.00 degrees
With the nearest neighbours (Å) after each atom.
Atoms (fractional coordinates):
Tl (0.0000, 0.0000, 0.0000)  8 Se 3.36
As (0.5000, 0.5000, 0.0000)  2 F 2.02
Se (0.0000, 0.5000, 0.5000)  2 F 2.68
Se (0.5000, 0.0000, 0.5000)  2 F 2.68
F (0.5000, 0.5000, 0.5000)  2 As 2.02

ΔE_f (raw) (meV/atom): 106
Energy (eV/atom): -3.07
Spin magnetization (μB/f.u.): 0.000
SG: P4/mmm, No. 123

---

(7)
The following is a PBE calculation of a geometry-optimized Hg2C structure, from the Alexandria database.

Cell lengths 12.2010, 12.2010, 2.6679 Å; angles 90.00, 90.00, 29.08 degrees
With the nearest neighbours (Å) after each atom.
Atoms (fractional coordinates):
Hg (0.0757, 0.5756, 0.7500)  2 Hg 2.67
Hg (0.4244, 0.9243, 0.7500)  2 Hg 2.67
Hg (0.5756, 0.0757, 0.2500)  2 Hg 2.67
Hg (0.9243, 0.4244, 0.2500)  2 Hg 2.67
C (0.0000, 0.0000, 0.2500)  2 C 1.33
C (0.0000, 0.0000, 0.7500)  2 C 1.33

Energy (eV/atom): -2.80
Spin magnetization (μB/f.u.): 0.000
SG: Cmcm, No. 63

---

- Which formula does entry 5 have?
  LiHgIr2